No. 1
DFT (GGA-PBE) results for an optimized crystal structure of ZnBiF2.

Properties
- formation energy from raw total energies (eV per formula unit) = -4.68
- D(E_F) (states/eV/cell) = 1.35
- SG = No. 166
- ΔE to the lowest computed polymorph (kJ/mol of formula units) = 122
- DFT total energy (eV/atom) = -3.395

Unit cell a=8.1889 b=8.1889 c=8.1889 alpha=21.96 beta=21.96 gamma=21.96
With the nearest neighbours (Å) after each atom.
Positions (direct):
F  0.0871  0.0871  0.0871  1 Zn 2.09
Bi  0.5000  0.5000  0.5000  6 F 2.62
Zn  0.0000  0.0000  0.0000  2 F 2.09
F  0.9129  0.9129  0.9129  1 Zn 2.09

No. 2
DFT (GGA-PBE) results for an optimized crystal structure of Zn2BiF8.

Properties
- formation energy from raw total energies (eV per formula unit) = -22.91
- D(E_F) (states/eV/cell) = 4.12
- SG = No. 147
- ΔE to the lowest computed polymorph (kJ/mol of formula units) = 32
- DFT total energy (eV/atom) = -4.028

Unit cell a=4.0328 b=6.7668 c=6.7663 alpha=120.01 beta=90.00 gamma=90.00
With the nearest neighbours (Å) after each atom.
Positions (direct):
F  0.2640  0.1630  0.3277  1 Zn 1.99, 1 Bi 2.20
Zn  0.2592  0.3333  0.6667  5 F 1.99-2.03
F  0.7360  0.3276  0.1647  1 Zn 1.99, 1 Bi 2.20
Zn  0.7408  0.6667  0.3333  5 F 1.99-2.03
F  0.7360  0.8353  0.1630  1 Zn 1.99, 1 Bi 2.20
F  0.2640  0.6724  0.8353  1 Zn 1.99, 1 Bi 2.20
F  0.2640  0.1647  0.8370  1 Zn 1.99, 1 Bi 2.20
F  0.7360  0.8370  0.6723  1 Zn 1.99, 1 Bi 2.20
Bi  0.0000  0.0000  0.0000  6 F 2.20
F  0.2433  0.6666  0.3332  2 Zn 2.01-2.03
F  0.7567  0.3334  0.6667  2 Zn 2.01-2.03